Entry from Alexandria via LeMat-Bulk: an optimized crystal structure of NbTc2Hg2 (GGA-PBE). Values from VASP.

```
&SYSTEM
  ibrav = 0, nat = 10, ntyp = 3
/
ATOMIC_SPECIES
Nb 92.91 Nb.upf
Tc 98.00 Tc.upf
Hg 200.59 Hg.upf
ATOMIC_POSITIONS crystal
Nb 0.0000 0.0000 0.0000
Nb 0.5000 0.5000 0.0000
Tc 0.1071 0.3929 0.5000
Tc 0.3929 0.8929 0.5000
Tc 0.6071 0.1071 0.5000
Tc 0.8929 0.6071 0.5000
Hg 0.1844 0.6844 0.0000
Hg 0.3156 0.1844 0.0000
Hg 0.6844 0.8156 0.0000
Hg 0.8156 0.3156 0.0000
CELL_PARAMETERS angstrom
7.9324 0.0000 0.0000
0.0000 7.9324 0.0000
0.0000 0.0000 2.9604
```

Results
Energy relative to the elements   724 meV/atom
Symmetry   P4/mbm, No. 127
DFT total energy   -5.557 eV/atom
Magnetization   0.000 Bohr magnetons per cell
Crystal system   tetragonal
Distance to the lowest polymorph of the same formula   0.00 eV/f.u.